This record from Alexandria via LeMat-Bulk describes a relaxed Ti6GePd crystal. The functional is PBE.

Properties
Formation energy from the elements ... -0.396 eV/atom
DOS(E_F) ... 11.2 states/eV per cell
Total energy ... -60.351 eV for the cell shown
Spin magnetization ... 0.000 μB per atom

a b c (Å): 5.051 5.051 5.051
angles (deg): 90.00 90.00 90.00
Space group Pm-3 (No. 200)
Asymmetric unit:
Ti 0.000 0.253 0.500
Ge 0.000 0.000 0.000
Pd 0.500 0.500 0.500